Record 1
Entry from the Alexandria database: an optimized crystal structure of Sb2MoAu (PBE).

Lattice parameters (Å, degrees): 7.055 7.055 7.055 154.70 143.36 45.05
Fractional coordinates of all 4 atoms:
Sb (0.000, 0.000, 0.000)
Sb (0.715, 0.215, 0.500)
Mo (0.527, 0.527, 0.000)
Au (0.333, 0.833, 0.500)

Properties
uncorrected formation energy = 254.1 meV/atom

***

Record 2
Entry from the Alexandria database: an optimized crystal structure of SbMoAu2 (PBE).

Lattice parameters (Å, degrees): 6.095 6.095 6.095 101.64 101.64 126.62
Fractional coordinates of all 8 atoms:
Sb (0.000, 0.000, 0.000)
Sb (0.750, 0.250, 0.500)
Mo (0.250, 0.750, 0.500)
Mo (0.500, 0.500, 0.000)
Au (0.130, 0.625, 0.005)
Au (0.375, 0.380, 0.505)
Au (0.620, 0.125, 0.995)
Au (0.875, 0.870, 0.495)

Properties
uncorrected formation energy = 399.8 meV/atom

***

Record 3
Entry from the Alexandria database: an optimized crystal structure of SbMo2Au (PBE).

Lattice parameters (Å, degrees): 5.073 5.073 4.835 103.11 103.11 37.16
Fractional coordinates of all 4 atoms:
Sb (0.000, 0.000, 0.000)
Mo (0.238, 0.238, 0.719)
Mo (0.530, 0.530, 0.531)
Au (0.769, 0.769, 0.262)

Properties
uncorrected formation energy = 312.5 meV/atom

***

Number 1: total magnetization 0.00 μB per cell. Number 2: total magnetization 2.03 μB per cell. Number 3: total magnetization 0.00 μB per cell.